[1]
This record from Alexandria via LeMat-Bulk describes crystalline Ac3BiP2Pd9 at its relaxed geometry. The functional is PBE.

The structure in CIF format:
```
data_Ac3BiP2Pd9
_space_group_name_H-M_alt 'P 1'
_space_group_IT_number 1
_space_group_name_Hall 'P 1'
_cell_length_a 7.2372
_cell_length_b 7.2372
_cell_length_c 7.4488
_cell_angle_alpha 90.00
_cell_angle_beta 90.00
_cell_angle_gamma 120.00
loop_
_atom_site_label
_atom_site_type_symbol
_atom_site_fract_x
_atom_site_fract_y
_atom_site_fract_z
Ac1 Ac 0.3333 0.6667 0.6693
Ac2 Ac 0.0000 0.0000 0.0000
Ac3 Ac 0.6667 0.3333 0.3307
Bi1 Bi 0.0000 0.0000 0.5000
P1 P 0.3333 0.6667 0.1263
P2 P 0.6667 0.3333 0.8737
Pd1 Pd 0.8102 0.1898 0.6795
Pd2 Pd 0.8102 0.6204 0.6795
Pd3 Pd 0.3796 0.1898 0.6795
Pd4 Pd 0.6204 0.8102 0.3205
Pd5 Pd 0.1898 0.3796 0.3205
Pd6 Pd 0.1898 0.8102 0.3205
Pd7 Pd 0.5000 0.0000 0.0000
Pd8 Pd 0.0000 0.5000 0.0000
Pd9 Pd 0.5000 0.5000 0.0000
```

Computed properties:
The value obtained for the energy of formation from the pure elements is -0.70 eV/atom. Its density of states at the Fermi level is 0.32 states/eV/atom. The space group is P-3m1 (164).

=====

[2]
This record from Alexandria via LeMat-Bulk describes crystalline SbTe2SN at its relaxed geometry. The functional is PBE.

The structure in CIF format:
```
data_SbTe2SN
_space_group_name_H-M_alt 'P 1'
_space_group_IT_number 1
_space_group_name_Hall 'P 1'
_cell_length_a 4.6488
_cell_length_b 4.6488
_cell_length_c 5.0527
_cell_angle_alpha 90.00
_cell_angle_beta 90.00
_cell_angle_gamma 90.00
loop_
_atom_site_label
_atom_site_type_symbol
_atom_site_fract_x
_atom_site_fract_y
_atom_site_fract_z
Sb1 Sb 0.0000 0.0000 0.5000
S1 S 0.5000 0.5000 0.5000
Te1 Te 0.0000 0.5000 0.0000
Te2 Te 0.5000 0.0000 0.0000
N1 N 0.0000 0.0000 0.0000
```

Computed properties:
Its density of states at the Fermi level is 0.71 states/eV/atom. The excess energy over the best structure of this formula in the dataset is 115 meV/atom. The space group is P4/mmm (123).

=====

[3]
This record from Alexandria via LeMat-Bulk describes crystalline TbPmY2 at its relaxed geometry. The functional is PBE.

The structure in CIF format:
```
data_TbPmY2
_space_group_name_H-M_alt 'P 1'
_space_group_IT_number 1
_space_group_name_Hall 'P 1'
_cell_length_a 3.6140
_cell_length_b 3.6133
_cell_length_c 11.7873
_cell_angle_alpha 81.24
_cell_angle_beta 90.00
_cell_angle_gamma 59.99
loop_
_atom_site_label
_atom_site_type_symbol
_atom_site_fract_x
_atom_site_fract_y
_atom_site_fract_z
Tb1 Tb 0.4803 0.1803 0.6217
Pm1 Pm 0.8971 0.3465 0.8749
Y1 Y 0.0638 0.0131 0.3737
Y2 Y 0.6485 0.8438 0.1259
```

Computed properties:
The value obtained for the energy of formation from the pure elements is 0.01 eV/atom. Its density of states at the Fermi level is 1.51 states/eV/atom. The excess energy over the best structure of this formula in the dataset is 1 meV/atom. The space group is Cm (8).

=====

[4]
This record from Alexandria via LeMat-Bulk describes crystalline VCoAsSe2 at its relaxed geometry. The functional is PBE.

The structure in CIF format:
```
data_VCoAsSe2
_space_group_name_H-M_alt 'P 1'
_space_group_IT_number 1
_space_group_name_Hall 'P 1'
_cell_length_a 4.7662
_cell_length_b 4.7662
_cell_length_c 4.7535
_cell_angle_alpha 90.00
_cell_angle_beta 90.00
_cell_angle_gamma 90.00
loop_
_atom_site_label
_atom_site_type_symbol
_atom_site_fract_x
_atom_site_fract_y
_atom_site_fract_z
As1 As 0.0000 0.0000 0.5000
Co1 Co 0.5000 0.5000 0.5000
Se1 Se 0.0000 0.5000 0.0000
Se2 Se 0.5000 0.0000 0.0000
V1 V 0.0000 0.0000 0.0000
```

Computed properties:
Its density of states at the Fermi level is 1.69 states/eV/atom. The excess energy over the best structure of this formula in the dataset is 0 meV/atom. The space group is P4/mmm (123).

=====

> Number 4 is which compound?

VCoAsSe2

=====

> Which formula does entry 3 have?

TbPmY2